Density functional theory data (PBE) for a relaxed PuTl2I2F4 crystal.

Properties
DFT total energy: -5.37 eV per atom
ΔE_f (raw): -1805 kJ/mol of formula units
space-group type: I4/mmm

Cell and atoms, written as POSCAR:
```
PuTl2I2F4
1.0
-3.5626 3.5626 5.3540
3.5626 -3.5626 5.3540
3.5626 3.5626 -5.3540
Pu Tl I F
1 2 2 4
direct
0.0000 0.0000 0.0000
0.2500 0.7500 0.5000
0.7500 0.2500 0.5000
0.2902 0.2902 0.0000
0.7098 0.7098 0.0000
0.2083 0.2083 0.4167
0.2083 0.7917 0.0000
0.7917 0.2083 0.0000
0.7917 0.7917 0.5833
```